No. 1
Material: NaCaO2F
Method: DFT, GGA-PBEsol
State: relaxed

```
NaCaO2F
1.0
4.058 0.000 0.000
0.000 4.058 0.000
0.000 0.000 4.060
Na Ca O F
1 1 2 1
Direct
0.000 0.000 0.000 Na
0.500 0.500 0.500 Ca
0.000 0.500 0.000 O
0.500 0.000 0.000 O
0.000 0.000 0.500 F
```

## Properties
Uncorrected formation energy   -1389 meV per atom
Total moment   2.0 μB/cell

---

No. 2
Material: Na2Ca5TiSi4O16F2
Method: DFT, GGA-PBEsol
State: relaxed

```
Na2Ca5TiSi4O16F2
1.0
7.324 0.000 0.000
0.000 5.648 0.000
-3.651 0.000 18.618
Na Ca Ti Si O F
4 10 2 8 32 4
Direct
0.243 0.000 0.250 Na
0.251 0.505 0.756 Na
0.749 0.005 0.244 Na
0.757 0.500 0.750 Na
0.094 0.666 0.942 Ca
0.096 0.823 0.449 Ca
0.400 0.165 0.057 Ca
0.405 0.340 0.565 Ca
0.498 0.505 0.249 Ca
0.502 0.005 0.751 Ca
0.595 0.840 0.435 Ca
0.600 0.665 0.943 Ca
0.904 0.323 0.551 Ca
0.906 0.166 0.058 Ca
0.010 0.971 0.763 Ti
0.990 0.471 0.237 Ti
0.212 0.661 0.110 Si
0.214 0.843 0.613 Si
0.348 0.342 0.392 Si
0.351 0.162 0.892 Si
0.649 0.662 0.108 Si
0.652 0.842 0.608 Si
0.786 0.343 0.387 Si
0.788 0.161 0.890 Si
0.027 0.707 0.810 O
0.051 0.732 0.321 O
0.148 0.435 0.059 O
0.151 0.592 0.575 O
0.152 0.905 0.068 O
0.154 0.061 0.558 O
0.168 0.641 0.191 O
0.174 0.876 0.694 O
0.215 0.393 0.313 O
0.221 0.148 0.812 O
0.320 0.078 0.421 O
0.337 0.405 0.935 O
0.340 0.934 0.943 O
0.350 0.549 0.451 O
0.443 0.656 0.132 O
0.447 0.849 0.634 O
0.553 0.349 0.366 O
0.557 0.156 0.868 O
0.650 0.049 0.549 O
0.660 0.434 0.057 O
0.663 0.905 0.065 O
0.680 0.578 0.579 O
0.779 0.648 0.188 O
0.785 0.893 0.687 O
0.826 0.376 0.306 O
0.832 0.141 0.809 O
0.846 0.561 0.442 O
0.848 0.405 0.932 O
0.849 0.092 0.425 O
0.852 0.935 0.941 O
0.949 0.232 0.679 O
0.973 0.207 0.190 O
0.464 0.170 0.186 F
0.466 0.339 0.690 F
0.534 0.839 0.310 F
0.536 0.670 0.814 F
```

## Properties
Uncorrected formation energy   -2848 meV per atom
Total moment   3.8 μB/cell

---

No. 3
Material: Na2Ca5TiSi4O16F2
Method: DFT, GGA-PBEsol
State: relaxed

```
Na2Ca5TiSi4O16F2
1.0
5.695 0.000 0.000
-0.029 7.363 0.000
-1.969 -1.824 9.324
Na Ca Ti Si O F
2 5 1 4 16 2
Direct
0.000 0.000 0.000 Na
0.498 0.766 0.001 Na
0.195 0.917 0.641 Ca
0.203 0.420 0.631 Ca
0.491 0.267 0.989 Ca
0.784 0.598 0.360 Ca
0.800 0.099 0.352 Ca
0.985 0.521 0.014 Ti
0.253 0.294 0.278 Si
0.261 0.860 0.287 Si
0.745 0.725 0.723 Si
0.747 0.157 0.709 Si
0.074 0.373 0.382 O
0.077 0.837 0.391 O
0.180 0.341 0.116 O
0.187 0.724 0.127 O
0.199 0.066 0.244 O
0.216 0.457 0.877 O
0.460 0.676 0.669 O
0.461 0.178 0.663 O
0.536 0.342 0.341 O
0.543 0.851 0.352 O
0.741 0.523 0.106 O
0.798 0.953 0.755 O
0.829 0.682 0.886 O
0.836 0.299 0.866 O
0.916 0.646 0.613 O
0.920 0.172 0.599 O
0.301 0.990 0.884 F
0.689 0.056 0.108 F
```

## Properties
Uncorrected formation energy   -2857 meV per atom
Total moment   2.1 μB/cell

---

No. 4
Material: Na4CaZr2TiSi4O16F2
Method: DFT, GGA-PBEsol
State: relaxed

```
Na4CaZr2TiSi4O16F2
1.0
5.656 0.000 0.000
0.000 7.133 0.000
-4.144 0.000 18.035
Na Ca Zr Ti Si O F
8 2 4 2 8 32 4
Direct
0.000 0.121 0.250 Na
0.000 0.879 0.750 Na
0.207 0.114 0.070 Na
0.207 0.886 0.570 Na
0.500 0.356 0.250 Na
0.500 0.644 0.750 Na
0.793 0.114 0.430 Na
0.793 0.886 0.930 Na
0.500 0.142 0.750 Ca
0.500 0.858 0.250 Ca
0.199 0.382 0.574 Zr
0.199 0.618 0.074 Zr
0.801 0.382 0.926 Zr
0.801 0.618 0.426 Zr
0.000 0.392 0.750 Ti
0.000 0.608 0.250 Ti
0.269 0.116 0.896 Si
0.269 0.884 0.396 Si
0.280 0.342 0.396 Si
0.280 0.658 0.896 Si
0.720 0.342 0.104 Si
0.720 0.658 0.604 Si
0.731 0.116 0.604 Si
0.731 0.884 0.104 Si
0.072 0.176 0.943 O
0.072 0.824 0.443 O
0.098 0.411 0.449 O
0.098 0.589 0.949 O
0.183 0.415 0.311 O
0.183 0.585 0.811 O
0.192 0.189 0.810 O
0.192 0.811 0.310 O
0.228 0.379 0.684 O
0.228 0.621 0.184 O
0.263 0.114 0.391 O
0.263 0.886 0.891 O
0.439 0.403 0.075 O
0.439 0.597 0.575 O
0.451 0.180 0.570 O
0.451 0.820 0.070 O
0.549 0.180 0.930 O
0.549 0.820 0.430 O
0.561 0.403 0.425 O
0.561 0.597 0.925 O
0.737 0.114 0.109 O
0.737 0.886 0.609 O
0.772 0.379 0.816 O
0.772 0.621 0.316 O
0.808 0.189 0.690 O
0.808 0.811 0.190 O
0.817 0.415 0.189 O
0.817 0.585 0.689 O
0.902 0.411 0.051 O
0.902 0.589 0.551 O
0.928 0.176 0.557 O
0.928 0.824 0.057 O
0.297 0.099 0.191 F
0.297 0.901 0.691 F
0.703 0.099 0.309 F
0.703 0.901 0.809 F
```

## Properties
Uncorrected formation energy   -2937 meV per atom
Total moment   0.0 μB/cell

---

No. 5
Material: NaCaPbF2
Method: DFT, GGA-PBEsol
State: relaxed

```
NaCaPbF2
1.0
4.796 0.000 0.000
0.000 4.796 0.000
0.000 0.000 5.972
Na Ca Pb F
1 1 1 2
Direct
0.000 0.000 0.000 Na
0.500 0.500 0.000 Ca
0.000 0.000 0.500 Pb
0.000 0.500 0.500 F
0.500 0.000 0.500 F
```

## Properties
Uncorrected formation energy   -1088 meV per atom
Total moment   0.0 μB/cell

---

No. 6
Material: CaNb2F
Method: DFT, GGA-PBEsol
State: relaxed

```
CaNb2F
1.0
6.638 0.000 0.000
0.000 6.638 0.000
0.000 0.000 6.638
Ca Nb F
4 8 4
Direct
0.000 0.000 0.000 Ca
0.000 0.500 0.500 Ca
0.500 0.000 0.500 Ca
0.500 0.500 0.000 Ca
0.250 0.250 0.250 Nb
0.250 0.250 0.750 Nb
0.250 0.750 0.250 Nb
0.250 0.750 0.750 Nb
0.750 0.250 0.250 Nb
0.750 0.250 0.750 Nb
0.750 0.750 0.250 Nb
0.750 0.750 0.750 Nb
0.000 0.000 0.500 F
0.000 0.500 0.000 F
0.500 0.000 0.000 F
0.500 0.500 0.500 F
```

## Properties
Uncorrected formation energy   1064 meV per atom
Total moment   7.4 μB/cell

---

Question: Among the records above, which one has the highest uncorrected formation energy?
Answer: CaNb2F